Record 1
# YW3N

A geometry-optimized YW3N structure (PBE-GGA, the Alexandria database).

```
data_YW3N
_space_group_name_H-M_alt 'P 1'
_space_group_IT_number 1
_space_group_name_Hall 'P 1'
_cell_length_a 4.820
_cell_length_b 4.820
_cell_length_c 4.820
_cell_angle_alpha 90.00
_cell_angle_beta 90.00
_cell_angle_gamma 90.00
loop_
_atom_site_label
_atom_site_fract_x
_atom_site_fract_y
_atom_site_fract_z
_atom_site_occupancy
Y1 0.000 0.000 0.000 1
W1 0.000 0.000 0.500 1
W2 0.000 0.500 0.000 1
W3 0.500 0.000 0.000 1
N1 0.500 0.500 0.500 1
```

Results
* distance to the lowest polymorph of the same formula: 1965 kJ/mol of formula units
* E_form (uncorrected): 4.29 eV/atom
* energy: -6.44 eV/atom
* density of states at the Fermi level: 4.1 states/eV per cell

Record 2
# YW3N

A geometry-optimized YW3N structure (PBE-GGA, the Alexandria database).

```
data_YW3N
_space_group_name_H-M_alt 'P 1'
_space_group_IT_number 1
_space_group_name_Hall 'P 1'
_cell_length_a 4.293
_cell_length_b 4.293
_cell_length_c 4.293
_cell_angle_alpha 90.00
_cell_angle_beta 90.00
_cell_angle_gamma 90.00
loop_
_atom_site_label
_atom_site_fract_x
_atom_site_fract_y
_atom_site_fract_z
_atom_site_occupancy
Y1 0.000 0.000 0.000 1
W1 0.000 0.500 0.500 1
W2 0.500 0.000 0.500 1
W3 0.500 0.500 0.000 1
N1 0.500 0.500 0.500 1
```

Results
* distance to the lowest polymorph of the same formula: 0 kJ/mol of formula units
* E_form (uncorrected): 0.21 eV/atom
* energy: -10.52 eV/atom
* density of states at the Fermi level: 4.7 states/eV per cell